NaZnCdHg2: relaxed, PBE-GGA.

Geometry as extended XYZ:
```
5
Lattice="5.339 0.000 0.000 0.000 5.339 0.000 0.000 0.000 5.098" Properties=species:S:1:pos:R:3 pbc="T T T"
Na 0.000 0.000 0.000
Zn 2.670 2.670 2.549
Cd 2.670 2.670 0.000
Hg 0.000 2.670 2.549
Hg 2.670 0.000 2.549
```

Energy relative to the elements   45 meV per atom
Magnetization   0.000 μB per formula unit
Final energy   -0.78 eV/atom



NaZnCdHg: relaxed, PBE-GGA.

Geometry as extended XYZ:
```
16
Lattice="7.082 0.000 0.000 0.000 7.082 0.000 0.000 0.000 7.082" Properties=species:S:1:pos:R:3 pbc="T T T"
Na 0.000 0.000 0.000
Na 0.000 3.541 3.541
Na 3.541 0.000 3.541
Na 3.541 3.541 0.000
Zn 1.771 1.771 1.771
Zn 1.771 5.312 5.312
Zn 5.312 1.771 5.312
Zn 5.312 5.312 1.771
Cd 0.000 0.000 3.541
Cd 0.000 3.541 0.000
Cd 3.541 0.000 0.000
Cd 3.541 3.541 3.541
Hg 1.771 1.771 5.312
Hg 1.771 5.312 1.771
Hg 5.312 1.771 1.771
Hg 5.312 5.312 5.312
```

Energy relative to the elements   -58 meV per atom
Magnetization   0.000 μB per formula unit
Final energy   -1.01 eV/atom



NbCdHg3: relaxed, PBE-GGA.

Geometry as extended XYZ:
```
5
Lattice="5.632 0.000 0.000 0.000 5.632 0.000 0.000 0.000 5.632" Properties=species:S:1:pos:R:3 pbc="T T T"
Nb 0.000 0.000 0.000
Cd 2.816 2.816 2.816
Hg 0.000 0.000 2.816
Hg 0.000 2.816 0.000
Hg 2.816 0.000 0.000
```

Energy relative to the elements   744 meV per atom
Magnetization   3.912 μB per formula unit
Energy above the most stable polymorph in this dataset   0.0 kJ/mol of atoms
Final energy   -1.63 eV/atom



NbCd3Hg: relaxed, PBE-GGA.

Geometry as extended XYZ:
```
5
Lattice="5.703 0.000 0.000 0.000 5.703 0.000 0.000 0.000 5.703" Properties=species:S:1:pos:R:3 pbc="T T T"
Nb 0.000 0.000 0.000
Cd 0.000 0.000 2.851
Cd 0.000 2.851 0.000
Cd 2.851 0.000 0.000
Hg 2.851 2.851 2.851
```

Energy relative to the elements   865 meV per atom
Magnetization   4.482 μB per formula unit
Energy above the most stable polymorph in this dataset   0.0 kJ/mol of atoms
Final energy   -1.76 eV/atom